# Y4Sb2SeS | Alexandria via LeMat-Bulk | PBE-GGA | relaxed
data_Y4Sb2SeS
_space_group_name_H-M_alt 'P 1'
_space_group_IT_number 1
_cell_length_a 4.207
_cell_length_b 7.282
_cell_length_c 7.279
_cell_angle_alpha 70.47
_cell_angle_beta 90.00
_cell_angle_gamma 90.00
loop_
_space_group_symop_operation_xyz
'x,y,z'
loop_
_atom_site_label
_atom_site_fract_x
_atom_site_fract_y
_atom_site_fract_z
Y1 0.000 0.729 0.763
Sb1 0.000 0.000 0.000
Y2 0.500 0.266 0.751
Y3 0.000 0.271 0.237
S1 0.500 0.500 0.000
Sb2 0.500 0.000 0.500
Se1 0.000 0.500 0.500
Y4 0.500 0.734 0.249
# **Crystal system**: monoclinic
# **DOS at the Fermi energy**: 0.4307 states/eV per atom
# **Space group**: P2/m
# **DFT total energy**: -53.72 eV per formula unit

---

# LaTe2AsN | Alexandria via LeMat-Bulk | PBE-GGA | relaxed
data_LaTe2AsN
_space_group_name_H-M_alt 'P 1'
_space_group_IT_number 1
_cell_length_a 6.319
_cell_length_b 6.319
_cell_length_c 4.020
_cell_angle_alpha 90.00
_cell_angle_beta 90.00
_cell_angle_gamma 90.00
loop_
_space_group_symop_operation_xyz
'x,y,z'
loop_
_atom_site_label
_atom_site_fract_x
_atom_site_fract_y
_atom_site_fract_z
As1 0.500 0.500 0.500
La1 0.000 0.000 0.000
N1 0.000 0.000 0.500
Te1 0.000 0.500 0.000
Te2 0.500 0.000 0.000
# **Crystal system**: tetragonal
# **DOS at the Fermi energy**: 1.0061 states/eV per atom
# **Offset from the most stable computed form**: 546 meV/atom
# **Space group**: P4/mmm
# **DFT total energy**: -21.66 eV per formula unit

---

# LiLaNi2 | Alexandria via LeMat-Bulk | PBE-GGA | relaxed
data_LiLaNi2
_space_group_name_H-M_alt 'P 1'
_space_group_IT_number 1
_cell_length_a 4.676
_cell_length_b 4.676
_cell_length_c 4.676
_cell_angle_alpha 60.00
_cell_angle_beta 60.00
_cell_angle_gamma 60.00
loop_
_space_group_symop_operation_xyz
'x,y,z'
loop_
_atom_site_label
_atom_site_fract_x
_atom_site_fract_y
_atom_site_fract_z
Li1 0.000 0.000 0.000
La1 0.500 0.500 0.500
Ni1 0.250 0.250 0.250
Ni2 0.750 0.750 0.750
# **Crystal system**: cubic
# **Calculated formation energy**: -0.02 eV/atom
# **DOS at the Fermi energy**: 0.2019 states/eV per atom
# **Offset from the most stable computed form**: 134 meV/atom
# **Space group**: Fm-3m
# **DFT total energy**: -18.47 eV per formula unit

---

# Co2ReNi | Alexandria via LeMat-Bulk | PBE-GGA | relaxed
data_Co2ReNi
_space_group_name_H-M_alt 'P 1'
_space_group_IT_number 1
_cell_length_a 4.051
_cell_length_b 4.051
_cell_length_c 4.051
_cell_angle_alpha 60.00
_cell_angle_beta 60.00
_cell_angle_gamma 60.00
loop_
_space_group_symop_operation_xyz
'x,y,z'
loop_
_atom_site_label
_atom_site_fract_x
_atom_site_fract_y
_atom_site_fract_z
Co1 0.750 0.750 0.750
Ni1 0.000 0.000 0.000
Co2 0.250 0.250 0.250
Re1 0.500 0.500 0.500
# **Crystal system**: cubic
# **Calculated formation energy**: 0.16 eV/atom
# **DOS at the Fermi energy**: 0.9126 states/eV per atom
# **Offset from the most stable computed form**: 144 meV/atom
# **Space group**: Fm-3m
# **DFT total energy**: -31.82 eV per formula unit

---

# CdNi3 | Alexandria via LeMat-Bulk | PBE-GGA | relaxed
data_CdNi3
_space_group_name_H-M_alt 'P 1'
_space_group_IT_number 1
_cell_length_a 4.197
_cell_length_b 4.197
_cell_length_c 4.197
_cell_angle_alpha 60.00
_cell_angle_beta 60.00
_cell_angle_gamma 60.00
loop_
_space_group_symop_operation_xyz
'x,y,z'
loop_
_atom_site_label
_atom_site_fract_x
_atom_site_fract_y
_atom_site_fract_z
Ni1 0.750 0.750 0.750
Cd1 0.000 0.000 0.000
Ni2 0.250 0.250 0.250
Ni3 0.500 0.500 0.500
# **Crystal system**: cubic
# **Calculated formation energy**: 0.18 eV/atom
# **DOS at the Fermi energy**: 1.8361 states/eV per atom
# **Space group**: Fm-3m
# **DFT total energy**: -17.53 eV per formula unit

---

# Nd3BiO7 | Alexandria via LeMat-Bulk | PBE-GGA | relaxed
data_Nd3BiO7
_space_group_name_H-M_alt 'P 1'
_space_group_IT_number 1
_cell_length_a 6.786
_cell_length_b 6.786
_cell_length_c 7.933
_cell_angle_alpha 90.00
_cell_angle_beta 90.00
_cell_angle_gamma 109.66
loop_
_space_group_symop_operation_xyz
'x,y,z'
loop_
_atom_site_label
_atom_site_fract_x
_atom_site_fract_y
_atom_site_fract_z
Nd1 0.531 0.000 0.250
O1 0.078 0.922 0.750
Bi1 0.000 0.000 0.000
O2 0.329 0.079 0.029
O3 0.630 0.370 0.750
O4 0.636 0.364 0.250
Nd2 0.000 0.469 0.250
O5 0.671 0.921 0.972
O6 0.079 0.329 0.528
O7 0.921 0.671 0.028
O8 0.921 0.671 0.471
O9 0.671 0.921 0.529
O10 0.370 0.630 0.250
O11 0.329 0.079 0.472
Nd3 0.469 0.000 0.750
Nd4 0.500 0.500 0.000
O12 0.922 0.078 0.250
O13 0.364 0.636 0.750
Nd5 0.500 0.500 0.500
Bi2 0.000 0.000 0.500
Nd6 0.000 0.531 0.750
O14 0.079 0.329 0.971
# **Crystal system**: orthorhombic
# **Space group**: Cmcm
# **DFT total energy**: -81.92 eV per formula unit